# 1
{"formula": "LiTh3Si3", "functional": "GGA-PBE", "state": "optimized geometry", "lattice": [[5.520, -2.153, 0.000], [5.520, 2.153, 0.000], [-4.794, 0.000, 13.454]], "species": ["Li", "Li", "Th", "Th", "Th", "Th", "Th", "Th", "Si", "Si", "Si", "Si", "Si", "Si"], "fractional_positions": [[0.246, 0.246, 0.409], [0.754, 0.754, 0.591], [0.253, 0.253, 0.774], [0.394, 0.394, 0.077], [0.470, 0.470, 0.622], [0.530, 0.530, 0.378], [0.606, 0.606, 0.923], [0.747, 0.747, 0.226], [0.037, 0.037, 0.228], [0.111, 0.111, 0.077], [0.121, 0.121, 0.547], [0.879, 0.879, 0.453], [0.889, 0.889, 0.923], [0.963, 0.963, 0.772]]}

# 2
{"formula": "Li7Th3Si4", "functional": "GGA-PBE", "state": "optimized geometry", "lattice": [[8.052, -2.250, 0.000], [8.052, 2.250, 0.000], [-4.573, 0.000, 7.277]], "species": ["Li", "Li", "Li", "Li", "Li", "Li", "Li", "Th", "Th", "Th", "Si", "Si", "Si", "Si"], "fractional_positions": [[0.000, 0.000, 0.000], [0.147, 0.147, 0.352], [0.340, 0.340, 0.186], [0.494, 0.494, 0.176], [0.506, 0.506, 0.824], [0.660, 0.660, 0.814], [0.853, 0.853, 0.648], [0.000, 0.000, 0.500], [0.274, 0.274, 0.778], [0.726, 0.726, 0.222], [0.133, 0.133, 0.931], [0.356, 0.356, 0.496], [0.644, 0.644, 0.504], [0.867, 0.867, 0.069]]}

# 3
{"formula": "LiTh2Si2", "functional": "GGA-PBE", "state": "optimized geometry", "lattice": [[4.222, 0.000, 0.000], [0.000, 5.955, 0.000], [0.000, 0.000, 9.045]], "species": ["Li", "Li", "Th", "Th", "Th", "Th", "Si", "Si", "Si", "Si"], "fractional_positions": [[0.000, 0.000, 0.000], [0.500, 0.500, 0.500], [0.000, 0.500, 0.212], [0.000, 0.500, 0.788], [0.500, 0.000, 0.288], [0.500, 0.000, 0.712], [0.000, 0.204, 0.500], [0.000, 0.796, 0.500], [0.500, 0.296, 0.000], [0.500, 0.704, 0.000]]}

# 4
{"formula": "Li2Th3Si3", "functional": "GGA-PBE", "state": "optimized geometry", "lattice": [[2.140, -5.591, 0.000], [2.140, 5.591, 0.000], [0.000, 0.000, 14.620]], "species": ["Li", "Li", "Li", "Li", "Th", "Th", "Th", "Th", "Th", "Th", "Si", "Si", "Si", "Si", "Si", "Si"], "fractional_positions": [[0.216, 0.784, 0.582], [0.216, 0.784, 0.918], [0.784, 0.216, 0.082], [0.784, 0.216, 0.418], [0.080, 0.920, 0.114], [0.080, 0.920, 0.386], [0.373, 0.627, 0.250], [0.627, 0.373, 0.750], [0.920, 0.080, 0.614], [0.920, 0.080, 0.886], [0.333, 0.667, 0.750], [0.401, 0.599, 0.041], [0.401, 0.599, 0.459], [0.599, 0.401, 0.541], [0.599, 0.401, 0.959], [0.667, 0.333, 0.250]]}

# 5
{"formula": "Li2Th2Si3", "functional": "GGA-PBE", "state": "optimized geometry", "lattice": [[2.205, -9.222, 0.000], [2.205, 9.222, 0.000], [0.000, 0.000, 6.777]], "species": ["Li", "Li", "Li", "Li", "Th", "Th", "Th", "Th", "Si", "Si", "Si", "Si", "Si", "Si"], "fractional_positions": [[0.188, 0.812, 0.566], [0.188, 0.812, 0.934], [0.812, 0.188, 0.066], [0.812, 0.188, 0.434], [0.344, 0.656, 0.750], [0.450, 0.550, 0.250], [0.550, 0.450, 0.750], [0.656, 0.344, 0.250], [0.060, 0.940, 0.072], [0.060, 0.940, 0.428], [0.280, 0.720, 0.250], [0.720, 0.280, 0.750], [0.940, 0.060, 0.572], [0.940, 0.060, 0.928]]}

# 6
{"formula": "LiThSi", "functional": "GGA-PBE", "state": "optimized geometry", "lattice": [[4.222, 0.000, 0.000], [0.000, 4.222, 0.000], [0.000, 0.000, 7.186]], "species": ["Li", "Li", "Th", "Th", "Si", "Si"], "fractional_positions": [[0.250, 0.750, 0.000], [0.750, 0.250, 0.000], [0.250, 0.250, 0.340], [0.750, 0.750, 0.660], [0.250, 0.250, 0.766], [0.750, 0.750, 0.234]]}

# 7
{"formula": "Li3ThSi3", "functional": "GGA-PBE", "state": "optimized geometry", "lattice": [[6.417, 0.000, 0.000], [0.000, 6.417, 0.000], [0.000, 0.000, 6.417]], "species": ["Li", "Li", "Li", "Li", "Li", "Li", "Th", "Th", "Si", "Si", "Si", "Si", "Si", "Si"], "fractional_positions": [[0.000, 0.250, 0.500], [0.000, 0.750, 0.500], [0.250, 0.500, 0.000], [0.500, 0.000, 0.250], [0.500, 0.000, 0.750], [0.750, 0.500, 0.000], [0.000, 0.000, 0.000], [0.500, 0.500, 0.500], [0.000, 0.500, 0.250], [0.000, 0.500, 0.750], [0.250, 0.000, 0.500], [0.500, 0.250, 0.000], [0.500, 0.750, 0.000], [0.750, 0.000, 0.500]]}

# 8
{"formula": "Li2ThSi4", "functional": "GGA-PBE", "state": "optimized geometry", "lattice": [[2.050, 1.184, 8.761], [-2.050, 1.184, 8.761], [0.000, -2.367, 8.761]], "species": ["Li", "Li", "Th", "Si", "Si", "Si", "Si"], "fractional_positions": [[0.137, 0.137, 0.137], [0.863, 0.863, 0.863], [0.000, 0.000, 0.000], [0.243, 0.243, 0.243], [0.408, 0.408, 0.408], [0.592, 0.592, 0.592], [0.757, 0.757, 0.757]]}

# 9
{"formula": "LiThSi", "functional": "GGA-PBE", "state": "optimized geometry", "lattice": [[4.118, 0.000, 0.000], [0.000, 4.186, 0.000], [0.000, 0.000, 7.993]], "species": ["Li", "Li", "Th", "Th", "Si", "Si"], "fractional_positions": [[0.250, 0.000, 0.095], [0.750, 0.000, 0.905], [0.250, 0.500, 0.698], [0.750, 0.500, 0.302], [0.250, 0.000, 0.414], [0.750, 0.000, 0.586]]}

# 10
{"formula": "LiThSi", "functional": "GGA-PBE", "state": "optimized geometry", "lattice": [[4.264, 0.000, 0.000], [-2.132, 3.693, 0.000], [0.000, 0.000, 4.054]], "species": ["Li", "Th", "Si"], "fractional_positions": [[0.000, 0.000, 0.000], [0.333, 0.667, 0.500], [0.667, 0.333, 0.000]]}

# 11
{"formula": "LiThSi3", "functional": "GGA-PBE", "state": "optimized geometry", "lattice": [[2.111, -11.966, 0.000], [2.111, 11.966, 0.000], [0.000, 0.000, 3.900]], "species": ["Li", "Li", "Th", "Th", "Si", "Si", "Si", "Si", "Si", "Si"], "fractional_positions": [[0.205, 0.795, 0.750], [0.795, 0.205, 0.250], [0.075, 0.925, 0.250], [0.925, 0.075, 0.750], [0.317, 0.683, 0.750], [0.372, 0.628, 0.250], [0.473, 0.527, 0.250], [0.527, 0.473, 0.750], [0.628, 0.372, 0.750], [0.683, 0.317, 0.250]]}

# 12
{"formula": "LiThZnSi2", "functional": "GGA-PBE", "state": "optimized geometry", "lattice": [[4.104, 0.000, 0.000], [0.000, 4.104, 0.000], [0.000, 0.000, 10.793]], "species": ["Li", "Li", "Th", "Th", "Zn", "Zn", "Si", "Si", "Si", "Si"], "fractional_positions": [[0.000, 0.000, 0.000], [0.500, 0.500, 0.500], [0.000, 0.500, 0.750], [0.500, 0.000, 0.250], [0.000, 0.000, 0.500], [0.500, 0.500, 0.000], [0.000, 0.500, 0.139], [0.000, 0.500, 0.361], [0.500, 0.000, 0.639], [0.500, 0.000, 0.861]]}

# 13
{"formula": "Li2ThZn2Si2", "functional": "GGA-PBE", "state": "optimized geometry", "lattice": [[2.089, 1.206, 7.937], [-2.089, 1.206, 7.937], [0.000, -2.413, 7.937]], "species": ["Li", "Li", "Th", "Zn", "Zn", "Si", "Si"], "fractional_positions": [[0.144, 0.144, 0.144], [0.856, 0.856, 0.856], [0.000, 0.000, 0.000], [0.438, 0.438, 0.438], [0.562, 0.562, 0.562], [0.255, 0.255, 0.255], [0.745, 0.745, 0.745]]}

# 14
{"formula": "LiTi3Si", "functional": "GGA-PBE", "state": "optimized geometry", "lattice": [[4.710, 0.000, 0.000], [0.000, 4.710, 0.000], [0.000, 0.000, 4.710]], "species": ["Li", "Ti", "Ti", "Ti", "Si"], "fractional_positions": [[0.000, 0.000, 0.000], [0.000, 0.500, 0.500], [0.500, 0.000, 0.500], [0.500, 0.500, 0.000], [0.500, 0.500, 0.500]]}

# 15
{"formula": "Li2TiSi2", "functional": "GGA-PBE", "state": "optimized geometry", "lattice": [[7.032, 0.000, 0.000], [0.000, 7.032, 0.000], [0.000, 0.000, 2.874]], "species": ["Li", "Li", "Li", "Li", "Ti", "Ti", "Si", "Si", "Si", "Si"], "fractional_positions": [[0.170, 0.330, 0.000], [0.330, 0.830, 0.000], [0.670, 0.170, 0.000], [0.830, 0.670, 0.000], [0.000, 0.000, 0.500], [0.500, 0.500, 0.500], [0.128, 0.628, 0.500], [0.372, 0.128, 0.500], [0.628, 0.872, 0.500], [0.872, 0.372, 0.500]]}

# 16
{"formula": "LiTi2Si", "functional": "GGA-PBE", "state": "optimized geometry", "lattice": [[7.043, 0.000, 0.000], [0.000, 7.043, 0.000], [0.000, 0.000, 4.975]], "species": ["Li", "Li", "Li", "Li", "Ti", "Ti", "Ti", "Ti", "Ti", "Ti", "Ti", "Ti", "Si", "Si", "Si", "Si"], "fractional_positions": [[0.000, 0.000, 0.000], [0.000, 0.500, 0.250], [0.500, 0.000, 0.750], [0.500, 0.500, 0.500], [0.248, 0.250, 0.625], [0.250, 0.748, 0.875], [0.250, 0.752, 0.375], [0.252, 0.250, 0.125], [0.748, 0.750, 0.125], [0.750, 0.248, 0.375], [0.750, 0.252, 0.875], [0.752, 0.750, 0.625], [0.000, 0.000, 0.500], [0.000, 0.500, 0.750], [0.500, 0.000, 0.250], [0.500, 0.500, 0.000]]}

# 17
{"formula": "LiYTi2Si", "functional": "GGA-PBE", "state": "optimized geometry", "lattice": [[4.475, 0.000, 0.000], [0.000, 4.475, 0.000], [0.000, 0.000, 4.793]], "species": ["Li", "Y", "Ti", "Ti", "Si"], "fractional_positions": [[0.000, 0.000, 0.000], [0.000, 0.000, 0.500], [0.000, 0.500, 0.000], [0.500, 0.000, 0.000], [0.500, 0.500, 0.500]]}

# 18
{"formula": "Li2TlSi", "functional": "GGA-PBE", "state": "optimized geometry", "lattice": [[2.943, 0.000, 0.000], [0.000, 4.036, 0.000], [-0.056, 0.000, 6.041]], "species": ["Li", "Li", "Tl", "Si"], "fractional_positions": [[0.001, 0.000, 0.287], [0.999, 0.000, 0.713], [0.500, 0.500, 0.000], [0.500, 0.500, 0.500]]}

# 19
{"formula": "Li2Tl2Si", "functional": "GGA-PBE", "state": "optimized geometry", "lattice": [[7.864, 0.000, 0.000], [0.000, 7.864, 0.000], [0.000, 0.000, 3.378]], "species": ["Li", "Li", "Li", "Li", "Tl", "Tl", "Tl", "Tl", "Si", "Si"], "fractional_positions": [[0.152, 0.348, 0.000], [0.348, 0.848, 0.000], [0.652, 0.152, 0.000], [0.848, 0.652, 0.000], [0.149, 0.649, 0.500], [0.351, 0.149, 0.500], [0.649, 0.851, 0.500], [0.851, 0.351, 0.500], [0.000, 0.000, 0.500], [0.500, 0.500, 0.500]]}

# 20
{"formula": "LiTl2Si2", "functional": "GGA-PBE", "state": "optimized geometry", "lattice": [[5.243, 0.000, 0.000], [0.000, 5.243, 0.000], [0.000, 0.000, 9.002]], "species": ["Li", "Li", "Tl", "Tl", "Tl", "Tl", "Si", "Si", "Si", "Si"], "fractional_positions": [[0.000, 0.000, 0.000], [0.500, 0.500, 0.500], [0.000, 0.500, 0.250], [0.000, 0.500, 0.750], [0.500, 0.000, 0.250], [0.500, 0.000, 0.750], [0.000, 0.000, 0.372], [0.000, 0.000, 0.628], [0.500, 0.500, 0.128], [0.500, 0.500, 0.872]]}

# 21
{"formula": "LiTlSi2", "functional": "GGA-PBE", "state": "optimized geometry", "lattice": [[7.809, 0.000, 0.000], [0.000, 7.809, 0.000], [0.000, 0.000, 5.213]], "species": ["Li", "Li", "Li", "Li", "Tl", "Tl", "Tl", "Tl", "Si", "Si", "Si", "Si", "Si", "Si", "Si", "Si"], "fractional_positions": [[0.000, 0.000, 0.000], [0.000, 0.500, 0.250], [0.500, 0.000, 0.750], [0.500, 0.500, 0.500], [0.000, 0.000, 0.500], [0.000, 0.500, 0.750], [0.500, 0.000, 0.250], [0.500, 0.500, 0.000], [0.244, 0.250, 0.125], [0.250, 0.744, 0.375], [0.250, 0.756, 0.875], [0.256, 0.250, 0.625], [0.744, 0.750, 0.625], [0.750, 0.244, 0.875], [0.750, 0.256, 0.375], [0.756, 0.750, 0.125]]}

# 22
{"formula": "LiTlSi2", "functional": "GGA-PBE", "state": "optimized geometry", "lattice": [[3.044, 0.000, 0.000], [0.000, 3.044, 0.000], [0.000, 0.000, 8.230]], "species": ["Li", "Tl", "Si", "Si"], "fractional_positions": [[0.000, 0.000, 0.000], [0.000, 0.000, 0.500], [0.500, 0.500, 0.171], [0.500, 0.500, 0.829]]}

# 23
{"formula": "Li4TlSi", "functional": "GGA-PBE", "state": "optimized geometry", "lattice": [[0.000, 3.751, 3.751], [3.751, 0.000, 3.751], [3.751, 3.751, 0.000]], "species": ["Li", "Li", "Li", "Li", "Tl", "Si"], "fractional_positions": [[0.124, 0.124, 0.124], [0.124, 0.124, 0.629], [0.124, 0.629, 0.124], [0.629, 0.124, 0.124], [0.500, 0.500, 0.500], [0.750, 0.750, 0.750]]}

# 24
{"formula": "LiTlSi3", "functional": "GGA-PBE", "state": "optimized geometry", "lattice": [[4.626, 0.000, 0.000], [0.000, 4.626, 0.000], [0.000, 0.000, 4.626]], "species": ["Li", "Tl", "Si", "Si", "Si"], "fractional_positions": [[0.000, 0.000, 0.000], [0.500, 0.500, 0.500], [0.000, 0.000, 0.500], [0.000, 0.500, 0.000], [0.500, 0.000, 0.000]]}

# 25
{"formula": "Li2TlSi", "functional": "GGA-PBE", "state": "optimized geometry", "lattice": [[3.143, 0.000, 0.000], [-1.571, 2.722, 0.000], [0.000, 0.000, 27.148]], "species": ["Li", "Li", "Li", "Li", "Li", "Li", "Tl", "Tl", "Tl", "Si", "Si", "Si"], "fractional_positions": [[0.000, 0.000, 0.242], [0.000, 0.000, 0.758], [0.333, 0.667, 0.425], [0.333, 0.667, 0.909], [0.667, 0.333, 0.091], [0.667, 0.333, 0.575], [0.000, 0.000, 0.000], [0.333, 0.667, 0.667], [0.667, 0.333, 0.333], [0.000, 0.000, 0.500], [0.333, 0.667, 0.167], [0.667, 0.333, 0.833]]}

For each record above, in turn, the calculated spin magnetization values are 0.000 0.000 0.000 0.000 0.000 0.000 0.000 0.000 0.000 0.878 0.000 0.000 0.000 0.000 0.000 0.000 0.000 0.000 0.000 0.000 0.000 0.000 0.608 0.000 0.000 μB per cell.
For each record above, in turn, the calculated electronic total energy values are -44.63 -62.29 -30.28 -46.48 -38.83 -16.22 -26.90 -34.54 -15.62 -16.02 -27.64 -23.82 -27.69 -28.93 -23.01 -22.75 -26.33 -11.90 -13.46 -15.94 -13.35 -13.86 -15.09 -16.71 -11.49 eV/f.u..
For each record above, in turn, the calculated energy relative to the elements, uncorrected values are -0.60 -0.35 -0.54 -0.52 -0.56 -0.49 0.36 -0.23 -0.29 -0.42 -0.41 -0.47 -0.44 0.42 -0.09 0.09 0.65 -0.07 0.10 0.31 0.44 0.32 0.06 0.77 0.03 eV per atom.